# 1
This record from the Alexandria database describes a relaxed NaSmZn2 crystal. The functional is PBE.

Computed properties:
E_form, eV per formula unit: -0.4
Size of the total moment, μB per atom: 0.000
E above lowest polymorph, meV per atom: 0

abc: 5.034 5.034 5.034
angles: 60.00 60.00 60.00
Sites, in units of the cell vectors:
1 Zn 0.750 0.750 0.750
2 Zn 0.250 0.250 0.250
3 Na 0.500 0.500 0.500
4 Sm 0.000 0.000 0.000

***

# 2
This record from the Alexandria database describes a relaxed CaTi2AlSb crystal. The functional is PBE.

Computed properties:
Size of the total moment, μB per atom: 0.407
Uncorrected formation energy, eV per atom: 0.60

abc: 5.139 5.311 5.139
angles: 90.00 90.00 90.00
Last column: magnetic moment on the atom in μB.
Sites, in units of the cell vectors:
1 Ca 0.500 0.500 0.500  0.04
2 Ti 0.500 0.000 0.000  0.67
3 Ti 0.000 0.000 0.500  0.89
4 Al 0.000 0.500 0.000  -0.03
5 Sb 0.000 0.000 0.000  -0.03

***

# 3
This record from the Alexandria database describes a relaxed Rb2HgSe2 crystal. The functional is PBE.

Computed properties:
Size of the total moment, μB per atom: 0.059
Uncorrected formation energy, eV per atom: -0.46

abc: 10.525 10.525 3.160
angles: 90.00 90.00 90.00
Last column: magnetic moment on the atom in μB.
Sites, in units of the cell vectors:
1 Hg 0.000 0.000 0.000  0.03
2 Rb 0.359 0.859 0.000  0.00
3 Se 0.345 0.155 0.500  0.07
4 Se 0.655 0.845 0.500  0.07
5 Se 0.845 0.345 0.500  0.07
6 Hg 0.500 0.500 0.000  0.03
7 Rb 0.859 0.641 0.000  0.00
8 Rb 0.141 0.359 0.000  0.00
9 Se 0.155 0.655 0.500  0.07
10 Rb 0.641 0.141 0.000  0.00

***

# 4
This record from the Alexandria database describes a relaxed Pr2NdPd crystal. The functional is PBE.

Computed properties:
E_form, eV per formula unit: -1.0
Size of the total moment, μB per atom: 0.000
E above lowest polymorph, meV per atom: 147

abc: 3.870 3.870 10.180
angles: 79.04 79.04 60.00
Sites, in units of the cell vectors:
1 Pr 0.269 0.269 0.194
2 Pd 0.000 0.000 0.000
3 Nd 0.500 0.500 0.500
4 Pr 0.731 0.731 0.806

***

# 5
This record from the Alexandria database describes a relaxed BaCa2Os crystal. The functional is PBE.

Computed properties:
E_form, eV per formula unit: 3.6
Size of the total moment, μB per atom: 0.000
E above lowest polymorph, meV per atom: 500

abc: 8.123 8.123 8.240
angles: 60.47 60.47 90.00
Sites, in units of the cell vectors:
1 Os 0.750 0.250 0.500
2 Ca 0.375 0.125 0.750
3 Ca 0.875 0.125 0.750
4 Ca 0.875 0.125 0.250
5 Ba 0.500 0.500 0.000
6 Ca 0.875 0.625 0.250
7 Ba 0.250 0.750 0.500
8 Os 0.000 0.000 0.000

***

# 6
This record from the Alexandria database describes a relaxed ErSc5Tl2 crystal. The functional is PBE.

Computed properties:
E_form, eV per formula unit: -1.1
Size of the total moment, μB per atom: 0.189
E above lowest polymorph, meV per atom: 58

abc: 3.445 7.917 7.917
angles: 75.69 77.43 77.43
Last column: magnetic moment on the atom in μB.
Sites, in units of the cell vectors:
1 Er 0.000 0.000 0.000  0.05
2 Tl 0.742 0.758 0.758  0.00
3 Sc 0.000 0.500 0.500  0.14
4 Tl 0.258 0.242 0.242  0.00
5 Sc 0.370 0.406 0.855  0.16
6 Sc 0.370 0.855 0.406  0.16
7 Sc 0.630 0.145 0.594  0.16
8 Sc 0.630 0.594 0.145  0.16

***

Look up the size of the total moment of the first one.
0.000 μB per atom